(1)
# Ca4ThPa3N8 | Alexandria via LeMat-Bulk | PBE | optimized geometry
data_Ca4ThPa3N8
_chemical_formula_sum 'Ca12 Th3 Pa9 N24'
_symmetry_space_group_name_H-M 'R -3 m'
_symmetry_Int_Tables_number 166
_symmetry_space_group_name_Hall '-R 3 2"'
_cell_length_a 7.1676
_cell_length_b 7.1676
_cell_length_c 17.1290
_cell_angle_alpha 90.00
_cell_angle_beta 90.00
_cell_angle_gamma 120.00
loop_
_atom_site_label
_atom_site_type_symbol
_atom_site_fract_x
_atom_site_fract_y
_atom_site_fract_z
_atom_site_occupancy
Ca1 Ca 0.0000 0.0000 0.0000 1
Ca2 Ca 0.0000 0.5000 0.0000 1
Th1 Th 0.0000 0.0000 0.5000 1
Pa1 Pa 0.0000 0.5000 0.5000 1
N1 N 0.0000 0.0000 0.2380 1
N2 N 0.0153 0.5076 0.7614 1
# **ΔE_f (raw)**: -23.0 eV/f.u.
# **Electronic total energy**: -8.346 eV/atom
# **Total moment**: 0.0 μB per formula unit

***

(2)
# YTl3Te | Alexandria via LeMat-Bulk | PBE | optimized geometry
data_YTl3Te
_chemical_formula_sum 'Y1 Tl3 Te1'
_symmetry_space_group_name_H-M 'P m -3 m'
_symmetry_Int_Tables_number 221
_symmetry_space_group_name_Hall '-P 4 2 3'
_cell_length_a 5.9227
_cell_length_b 5.9227
_cell_length_c 5.9227
_cell_angle_alpha 90.00
_cell_angle_beta 90.00
_cell_angle_gamma 90.00
loop_
_atom_site_label
_atom_site_type_symbol
_atom_site_fract_x
_atom_site_fract_y
_atom_site_fract_z
_atom_site_occupancy
Y1 Y 0.0000 0.0000 0.0000 1
Tl1 Tl 0.0000 0.5000 0.5000 1
Te1 Te 0.5000 0.5000 0.5000 1
# **Energy above the most stable polymorph in this dataset**: 0.47 eV per formula unit
# **ΔE_f (raw)**: 2.6 eV/f.u.
# **Electronic total energy**: -2.813 eV/atom
# **Total moment**: 0.0 μB per formula unit

***

(3)
# Dy6Hg2Te3Se | Alexandria via LeMat-Bulk | PBE | optimized geometry
data_Dy6Hg2Te3Se
_chemical_formula_sum 'Dy12 Hg4 Te6 Se2'
_symmetry_space_group_name_H-M 'C 1 2/m 1'
_symmetry_Int_Tables_number 12
_cell_length_a 19.4572
_cell_length_b 4.2133
_cell_length_c 8.7586
_cell_angle_alpha 90.00
_cell_angle_beta 111.26
_cell_angle_gamma 90.00
loop_
_symmetry_equiv_pos_as_xyz
'x,y,z'
'-x,-y,-z'
'-x,y,-z'
'x,-y,z'
'x+1/2,y+1/2,z'
'-x+1/2,-y+1/2,-z'
'-x+1/2,y+1/2,-z'
'x+1/2,-y+1/2,z'
loop_
_atom_site_label
_atom_site_type_symbol
_atom_site_fract_x
_atom_site_fract_y
_atom_site_fract_z
_atom_site_occupancy
Dy1 Dy 0.0118 0.0000 0.2422 1
Dy2 Dy 0.1621 0.5000 0.6229 1
Dy3 Dy 0.1632 0.5000 0.1303 1
Hg1 Hg 0.1849 0.0000 0.3946 1
Te1 Te 0.0000 0.5000 0.5000 1
Te2 Te 0.1612 0.0000 0.8737 1
Se1 Se 0.0000 0.5000 0.0000 1
# **ΔE_f (raw)**: -13.1 eV/f.u.
# **Electronic total energy**: -4.516 eV/atom
# **Total moment**: 0.0 μB per formula unit

***

(4)
# Ba2SrCa | Alexandria via LeMat-Bulk | PBE | optimized geometry
data_Ba2SrCa
_chemical_formula_sum 'Ba2 Sr1 Ca1'
_symmetry_space_group_name_H-M 'P 4/m m m'
_symmetry_Int_Tables_number 123
_symmetry_space_group_name_Hall '-P 4 2'
_cell_length_a 6.8018
_cell_length_b 6.8018
_cell_length_c 4.8114
_cell_angle_alpha 90.00
_cell_angle_beta 90.00
_cell_angle_gamma 90.00
loop_
_atom_site_label
_atom_site_type_symbol
_atom_site_fract_x
_atom_site_fract_y
_atom_site_fract_z
_atom_site_occupancy
Ba1 Ba 0.0000 0.5000 0.0000 1
Sr1 Sr 0.0000 0.0000 0.5000 1
Ca1 Ca 0.5000 0.5000 0.5000 1
# **Energy above the most stable polymorph in this dataset**: 0.03 eV per formula unit
# **Electronic total energy**: -1.857 eV/atom
# **Total moment**: 0.0 μB per formula unit